# 1
Density functional theory data (GGA-PBE) for a relaxed BaY2Hg crystal.

Cell: 11.416 11.416 11.416 Å, 19.20 19.20 19.20°
Positions (direct):
Y 0.016 0.016 0.016
Y 0.484 0.484 0.484
Hg 0.750 0.750 0.750
Ba 0.250 0.250 0.250

## Properties
N(E_F) in states/eV/atom: 1.372
E_form in eV/atom: -0.05

---

# 2
Density functional theory data (GGA-PBE) for a relaxed BaY2Hg crystal.

Cell: 7.008 7.008 5.578 Å, 66.54 66.54 32.67°
Positions (direct):
Ba 0.467 0.467 0.532
Hg 0.732 0.732 0.770
Y 0.045 0.045 0.954
Y 0.256 0.256 0.244

## Properties
N(E_F) in states/eV/atom: 1.242
E_form in eV/atom: -0.05